# 1
{
  "formula": "SiSb3Mo",
  "functional": "GGA-PBE",
  "state": "relaxed",
  "lattice_angstrom": [[5.2204, 0.0000, 0.0000], [0.0000, 5.2204, 0.0000], [0.0000, 0.0000, 5.2204]],
  "species": ["Si", "Sb", "Sb", "Sb", "Mo"],
  "fractional_positions": [[0.0000, 0.0000, 0.0000], [0.0000, 0.5000, 0.5000], [0.5000, 0.0000, 0.5000], [0.5000, 0.5000, 0.0000], [0.5000, 0.5000, 0.5000]],
  "total_energy_ev_per_cell": -24.40,
  "e_above_lowest_polymorph_ev_per_fu": 0.00,
  "e_form_raw_ev_per_atom": 0.844,
  "space_group": "No. 221"
}



# 2
{
  "formula": "SiSbMo2",
  "functional": "GGA-PBE",
  "state": "relaxed",
  "lattice_angstrom": [[3.1115, 0.0000, 0.0000], [-1.5557, 2.6946, 0.0000], [0.0000, 0.0000, 25.1646]],
  "species": ["Si", "Si", "Si", "Sb", "Sb", "Sb", "Mo", "Mo", "Mo", "Mo", "Mo", "Mo"],
  "fractional_positions": [[0.0000, 0.0000, 0.0000], [0.3333, 0.6667, 0.6667], [0.6667, 0.3333, 0.3333], [0.0000, 0.0000, 0.7589], [0.3333, 0.6667, 0.4256], [0.6667, 0.3333, 0.0923], [0.0000, 0.0000, 0.2609], [0.0000, 0.0000, 0.5134], [0.3333, 0.6667, 0.1800], [0.3333, 0.6667, 0.9275], [0.6667, 0.3333, 0.5942], [0.6667, 0.3333, 0.8467]],
  "total_energy_ev_per_cell": -90.71,
  "e_above_lowest_polymorph_ev_per_fu": 1.23,
  "e_form_raw_ev_per_atom": 0.243,
  "space_group": "No. 160"
}



# 3
{
  "formula": "SiSbMo",
  "functional": "GGA-PBE",
  "state": "relaxed",
  "lattice_angstrom": [[4.2938, 0.0000, 0.0000], [-2.1469, 3.7185, 0.0000], [0.0000, 0.0000, 3.5013]],
  "species": ["Si", "Sb", "Mo"],
  "fractional_positions": [[0.0000, 0.0000, 0.0000], [0.3333, 0.6667, 0.5000], [0.6667, 0.3333, 0.0000]],
  "total_energy_ev_per_cell": -19.35,
  "e_above_lowest_polymorph_ev_per_fu": 1.48,
  "e_form_raw_ev_per_atom": 0.342,
  "space_group": "No. 187"
}



# 4
{
  "formula": "SiSbMo",
  "functional": "GGA-PBE",
  "state": "relaxed",
  "lattice_angstrom": [[6.2915, 0.0000, 0.0000], [0.0000, 6.2915, 0.0000], [0.0000, 0.0000, 6.2915]],
  "species": ["Si", "Si", "Si", "Si", "Sb", "Sb", "Sb", "Sb", "Mo", "Mo", "Mo", "Mo"],
  "fractional_positions": [[0.0000, 0.0000, 0.0000], [0.0000, 0.5000, 0.5000], [0.5000, 0.0000, 0.5000], [0.5000, 0.5000, 0.0000], [0.0000, 0.0000, 0.5000], [0.0000, 0.5000, 0.0000], [0.5000, 0.0000, 0.0000], [0.5000, 0.5000, 0.5000], [0.2500, 0.2500, 0.2500], [0.2500, 0.7500, 0.7500], [0.7500, 0.2500, 0.7500], [0.7500, 0.7500, 0.2500]],
  "total_energy_ev_per_cell": -75.48,
  "e_above_lowest_polymorph_ev_per_fu": 1.96,
  "e_form_raw_ev_per_atom": 0.502,
  "space_group": "No. 216"
}



no.,density of states at the Fermi level (states/eV per cell),mass density (g cm⁻³)
1,3.114,5.7
2,8.102,8.1
3,2.732,7.3
4,11.043,6.6